Entry 1:
An optimized crystal structure of Mg4InHg5, computed with PBE.

Lattice parameters (Å, degrees): 3.6113 3.6113 17.0859 90.00 90.00 90.00
Closest atoms and distances in Å follow each position.
Element x y z (fractional)
Mg  0.0000  0.0000  0.0973  8 Hg 3.05, 2 Mg 3.32-3.33
Mg  0.0000  0.0000  0.2921  8 Hg 3.04, 1 Mg 3.33
Mg  0.0000  0.0000  0.7079  8 Hg 3.04, 1 Mg 3.33
Mg  0.0000  0.0000  0.9027  8 Hg 3.05, 2 Mg 3.32-3.33
In  0.0000  0.0000  0.5000  8 Hg 3.19, 2 Mg 3.55
Hg  0.5000  0.5000  0.0000  8 Mg 3.05, 2 Hg 3.34
Hg  0.5000  0.5000  0.1952  8 Mg 3.04-3.05, 2 Hg 3.30-3.34
Hg  0.5000  0.5000  0.3886  4 Mg 3.04, 4 In 3.19, 1 Hg 3.30
Hg  0.5000  0.5000  0.6114  4 Mg 3.04, 4 In 3.19, 1 Hg 3.30
Hg  0.5000  0.5000  0.8048  8 Mg 3.04-3.05, 2 Hg 3.30-3.34

Results
Magnetic moment in μB/atom: 0.000
ΔH_f (0 K) in eV per formula unit: -1.7

=====

Entry 2:
An optimized crystal structure of SrCoW2, computed with PBE.

Lattice parameters (Å, degrees): 5.7026 5.7026 5.7026 140.65 140.65 56.87
Closest atoms and distances in Å follow each position.
Element x y z (fractional)
Sr  0.0000  0.0000  0.0000  4 Co 2.72
Co  0.5000  0.5000  0.0000  4 Sr 2.72
W  0.2500  0.7500  0.5000  4 W 2.72
W  0.7500  0.2500  0.5000  4 W 2.72

Results
Polymorph energy (0 for the lowest one) in kJ/mol of formula units: 216.0
Magnetic moment in μB/atom: 0.000
ΔH_f (0 K) in eV per formula unit: 4.9

=====

Entry 3:
An optimized crystal structure of KRbBe2, computed with PBE.

Lattice parameters (Å, degrees): 5.8395 5.8395 5.8395 60.00 60.00 60.00
Closest atoms and distances in Å follow each position.
Element x y z (fractional)
K  0.0000  0.0000  0.0000  8 Be 3.58
Rb  0.5000  0.5000  0.5000  8 Be 3.58
Be  0.2500  0.2500  0.2500  4 K 3.58, 4 Rb 3.58
Be  0.7500  0.7500  0.7500  4 Rb 3.58, 4 K 3.58

Results
Polymorph energy (0 for the lowest one) in kJ/mol of formula units: 294.4
Magnetic moment in μB/atom: 0.000
ΔH_f (0 K) in eV per formula unit: 4.9

=====

Entry 4:
An optimized crystal structure of Er12As3H5, computed with PBE.

Lattice parameters (Å, degrees): 12.9789 12.9789 12.9789 109.47 109.47 109.47
Closest atoms and distances in Å follow each position.
Element x y z (fractional)
Er  0.0200  0.2119  0.1152  1 H 2.13
Er  0.0200  0.3081  0.9049  1 H 2.13
Er  0.0951  0.6152  0.4032  1 H 2.13
Er  0.0951  0.9800  0.6919  1 H 2.13
Er  0.0968  0.7119  0.6919  1 H 2.13
Er  0.0968  0.8848  0.4049  1 H 2.13
Er  0.1152  0.0200  0.2119  1 H 2.13
Er  0.1152  0.5951  0.9032  1 H 2.13
Er  0.1919  0.2119  0.5968  1 H 2.13
Er  0.1919  0.4800  0.5951  1 H 2.13
Er  0.2119  0.1152  0.0200  1 H 2.13
Er  0.2119  0.5968  0.1919  1 H 2.13
Er  0.2881  0.3081  0.9032  1 H 2.13
Er  0.2881  0.4800  0.3848  1 H 2.13
Er  0.3081  0.9032  0.2881  1 H 2.13
Er  0.3081  0.9049  0.0200  1 H 2.13
Er  0.3848  0.2881  0.4800  1 H 2.13
Er  0.3848  0.5968  0.9049  1 H 2.13
Er  0.4032  0.0951  0.6152  1 H 2.13
Er  0.4032  0.8081  0.7881  1 H 2.13
Er  0.4049  0.0968  0.8848  1 H 2.13
Er  0.4049  0.8081  0.5200  1 H 2.13
Er  0.4800  0.3848  0.2881  1 H 2.13
Er  0.4800  0.5951  0.1919  1 H 2.13
Er  0.5200  0.4049  0.8081  1 H 2.13
Er  0.5200  0.6152  0.7119  1 H 2.13
Er  0.5951  0.1919  0.4800  1 H 2.13
Er  0.5951  0.9032  0.1152  1 H 2.13
Er  0.5968  0.1919  0.2119  1 H 2.13
Er  0.5968  0.9049  0.3848  1 H 2.13
Er  0.6152  0.4032  0.0951  1 H 2.13
Er  0.6152  0.7119  0.5200  1 H 2.13
Er  0.6919  0.0951  0.9800  1 H 2.13
Er  0.6919  0.0968  0.7119  1 H 2.13
Er  0.7119  0.5200  0.6152  1 H 2.13
Er  0.7119  0.6919  0.0968  1 H 2.13
Er  0.7881  0.4032  0.8081  1 H 2.13
Er  0.7881  0.8848  0.9800  1 H 2.13
Er  0.8081  0.5200  0.4049  1 H 2.13
Er  0.8081  0.7881  0.4032  1 H 2.13
Er  0.8848  0.4049  0.0968  1 H 2.13
Er  0.8848  0.9800  0.7881  1 H 2.13
Er  0.9032  0.1152  0.5951  1 H 2.13
Er  0.9032  0.2881  0.3081  1 H 2.13
Er  0.9049  0.0200  0.3081  1 H 2.13
Er  0.9049  0.3848  0.5968  1 H 2.13
Er  0.9800  0.6919  0.0951  1 H 2.13
Er  0.9800  0.7881  0.8848  1 H 2.13
As  0.1250  0.2500  0.3750  8 Er 2.96-2.97
As  0.1250  0.3750  0.7500  8 Er 2.96-2.97
As  0.2500  0.3750  0.1250  8 Er 2.96-2.97
As  0.2500  0.8750  0.6250  8 Er 2.96-2.97
As  0.3750  0.1250  0.2500  8 Er 2.96-2.97
As  0.3750  0.7500  0.1250  8 Er 2.96-2.97
As  0.6250  0.2500  0.8750  8 Er 2.96-2.97
As  0.6250  0.8750  0.7500  8 Er 2.96-2.97
As  0.7500  0.1250  0.3750  8 Er 2.96-2.97
As  0.7500  0.6250  0.8750  8 Er 2.96-2.97
As  0.8750  0.6250  0.2500  8 Er 2.96-2.97
As  0.8750  0.7500  0.6250  8 Er 2.96-2.97
H  0.0000  0.0000  0.0000  6 Er 2.53
H  0.0000  0.0000  0.5000  6 Er 2.53
H  0.0000  0.5000  0.0000  6 Er 2.53
H  0.0000  0.5000  0.5000  6 Er 2.53
H  0.1250  0.7500  0.8750  4 Er 2.13
H  0.1250  0.8750  0.2500  4 Er 2.13
H  0.2500  0.1250  0.8750  4 Er 2.13
H  0.2500  0.6250  0.3750  4 Er 2.13
H  0.3750  0.2500  0.6250  4 Er 2.13
H  0.3750  0.6250  0.7500  4 Er 2.13
H  0.5000  0.0000  0.0000  6 Er 2.53
H  0.5000  0.0000  0.5000  6 Er 2.53
H  0.5000  0.5000  0.0000  6 Er 2.53
H  0.5000  0.5000  0.5000  6 Er 2.53
H  0.6250  0.3750  0.2500  4 Er 2.13
H  0.6250  0.7500  0.3750  4 Er 2.13
H  0.7500  0.3750  0.6250  4 Er 2.13
H  0.7500  0.8750  0.1250  4 Er 2.13
H  0.8750  0.1250  0.7500  4 Er 2.13
H  0.8750  0.2500  0.1250  4 Er 2.13

Results
Total DFT energy (no corrections) in eV/atom: -4.7866
Magnetic moment in μB/atom: 0.000

=====

Entry 5:
An optimized crystal structure of MnNiAsSe2, computed with PBE.

Lattice parameters (Å, degrees): 4.7539 4.7539 4.3871 90.00 90.00 90.00
Closest atoms and distances in Å follow each position.
Element x y z (fractional)
Mn  0.0000  0.0000  0.0000  8 Se 3.23, 4 As 3.36
Ni  0.5000  0.5000  0.5000  2 As 2.19, 4 Se 2.38
As  0.5000  0.5000  0.0000  2 Ni 2.19
Se  0.0000  0.5000  0.5000  2 Ni 2.38
Se  0.5000  0.0000  0.5000  2 Ni 2.38

Results
Formation energy without anion corrections in meV/atom: 893.7
Polymorph energy (0 for the lowest one) in kJ/mol of formula units: 126.2
Magnetic moment in μB/atom: 0.022

=====

Entry 6:
An optimized crystal structure of Tl3TcI6Br2, computed with PBE.

Lattice parameters (Å, degrees): 9.3582 9.3582 7.1304 96.03 96.03 56.27
Closest atoms and distances in Å follow each position.
Element x y z (fractional)
Tl  0.0000  0.0000  0.0000  2 Br 3.11
Tl  0.0000  0.5000  0.5000  2 Br 3.11, 4 I 3.36-3.40
Tl  0.5000  0.0000  0.5000  2 Br 3.11, 4 I 3.36-3.40
Tc  0.5000  0.5000  0.5000  6 I 2.74-2.75
I  0.1987  0.6373  0.2795  1 Tc 2.75
I  0.3627  0.8013  0.7205  1 Tc 2.75
I  0.3810  0.3810  0.7376  1 Tc 2.74
I  0.6190  0.6190  0.2624  1 Tc 2.74
I  0.6373  0.1987  0.2795  1 Tc 2.75
I  0.8013  0.3627  0.7205  1 Tc 2.75
Br  0.1727  0.1727  0.2280  3 Tl 3.11
Br  0.8273  0.8273  0.7720  3 Tl 3.11

Results
Formation energy without anion corrections in meV/atom: -366.7
Magnetic moment in μB/atom: 0.199

=====

Entry 7:
An optimized crystal structure of Na2UPO6, computed with PBE.

Lattice parameters (Å, degrees): 5.3250 5.3250 4.4288 90.00 90.00 90.00
Closest atoms and distances in Å follow each position.
Element x y z (fractional)
Na  0.0000  0.5000  0.0000  8 O 2.68-2.72
Na  0.5000  0.0000  0.0000  8 O 2.68-2.72
U  0.0000  0.0000  0.5487  6 O 2.12-2.26
P  0.5000  0.5000  0.4746  5 O 1.53-1.70
O  0.0000  0.0000  0.0587  2 U 2.17-2.26
O  0.2815  0.2815  0.5714  1 P 1.70
O  0.2815  0.7185  0.5714  1 P 1.70
O  0.5000  0.5000  0.1290  1 P 1.53
O  0.7185  0.2815  0.5714  1 P 1.70
O  0.7185  0.7185  0.5714  1 P 1.70

Results
Formation energy without anion corrections in meV/atom: -2343.7
Magnetic moment in μB/atom: 0.100

=====

> Which formula does entry 7 have?

Na2UPO6